1.
Material: Hf2H2Pt
Method: DFT, PBE-GGA
State: optimized geometry

Unit cell a=6.4884 b=6.4884 c=6.4884 alpha=151.26 beta=151.26 gamma=41.10
With the nearest neighbours (Å) after each atom.
Fractional coordinates of all 5 atoms:
Hf: 0.1413 0.1413 0.0000  4 H 2.08
Hf: 0.8587 0.8587 0.0000  4 H 2.08
H: 0.2500 0.7500 0.5000  4 Hf 2.08, 4 H 2.28
H: 0.7500 0.2500 0.5000  4 Hf 2.08, 4 H 2.28
Pt: 0.5000 0.5000 0.0000  8 Hf 2.85

Properties
Offset from the most stable computed form ... 0.000 eV/atom
Magnetic moment ... 0.0 μB per cell
Total DFT energy (no corrections) ... -7.2383 eV/atom

2.
Material: HfH2Pt2
Method: DFT, PBE-GGA
State: optimized geometry

Unit cell a=5.0431 b=5.0431 c=5.0431 alpha=137.71 beta=137.71 gamma=61.35
With the nearest neighbours (Å) after each atom.
Fractional coordinates of all 5 atoms:
Hf: 0.0000 0.0000 0.0000  8 H 2.83, 10 Pt 2.93-2.94
H: 0.2500 0.7500 0.5000  4 Pt 1.98
H: 0.7500 0.2500 0.5000  4 Pt 1.98
Pt: 0.3388 0.3388 0.0000  4 H 1.98
Pt: 0.6612 0.6612 0.0000  4 H 1.98

Properties
Offset from the most stable computed form ... 0.095 eV/atom
Magnetic moment ... 0.0 μB per cell
Total DFT energy (no corrections) ... -6.1982 eV/atom

3.
Material: Hf3HPt2
Method: DFT, PBE-GGA
State: optimized geometry

Unit cell a=6.5905 b=6.5905 c=6.3664 alpha=97.63 beta=97.63 gamma=49.53
With the nearest neighbours (Å) after each atom.
Fractional coordinates of all 12 atoms:
Hf: 0.1153 0.8847 0.7500  1 H 1.97
Hf: 0.2524 0.4549 0.3443  1 H 2.06
Hf: 0.4549 0.2524 0.8443  1 H 2.06
Hf: 0.5451 0.7476 0.1557  1 H 2.06
Hf: 0.7476 0.5451 0.6557  1 H 2.06
Hf: 0.8847 0.1153 0.2500  1 H 1.97
H: 0.4728 0.5272 0.7500  3 Hf 1.97-2.06
H: 0.5272 0.4728 0.2500  3 Hf 1.97-2.06
Pt: 0.0671 0.2598 0.0140  7 Hf 2.64-2.95, 1 Pt 2.70
Pt: 0.2598 0.0671 0.5140  7 Hf 2.64-2.95, 1 Pt 2.70
Pt: 0.7402 0.9329 0.4860  7 Hf 2.64-2.95, 1 Pt 2.70
Pt: 0.9329 0.7402 0.9860  7 Hf 2.64-2.95, 1 Pt 2.70

Properties
Magnetic moment ... 0.0 μB per cell
Total DFT energy (no corrections) ... -8.2636 eV/atom

4.
Material: HfHPt2
Method: DFT, PBE-GGA
State: optimized geometry

Unit cell a=7.9320 b=7.9320 c=7.9320 alpha=21.30 beta=21.30 gamma=21.30
With the nearest neighbours (Å) after each atom.
Fractional coordinates of all 4 atoms:
Hf: 0.0000 0.0000 0.0000  2 Pt 2.58
H: 0.5000 0.5000 0.5000  6 Pt 2.13
Pt: 0.1112 0.1112 0.1112  3 H 2.13
Pt: 0.8888 0.8888 0.8888  3 H 2.13

Properties
Offset from the most stable computed form ... 0.483 eV/atom
Magnetic moment ... 0.0 μB per cell
Total DFT energy (no corrections) ... -6.3037 eV/atom

5.
Material: Hf3HPt
Method: DFT, PBE-GGA
State: optimized geometry

Unit cell a=4.3208 b=4.3208 c=4.3208 alpha=90.00 beta=90.00 gamma=90.00
With the nearest neighbours (Å) after each atom.
Fractional coordinates of all 5 atoms:
Hf: 0.0000 0.0000 0.5000  2 H 2.16
Hf: 0.0000 0.5000 0.0000  2 H 2.16
Hf: 0.5000 0.0000 0.0000  2 H 2.16
H: 0.0000 0.0000 0.0000  6 Hf 2.16
Pt: 0.5000 0.5000 0.5000  12 Hf 3.06

Properties
Offset from the most stable computed form ... 0.000 eV/atom
Magnetic moment ... 0.0 μB per cell
Total DFT energy (no corrections) ... -8.3045 eV/atom

6.
Material: Hf2ReHPt
Method: DFT, PBE-GGA
State: optimized geometry

Unit cell a=4.4883 b=4.4883 c=3.6747 alpha=90.00 beta=90.00 gamma=90.00
With the nearest neighbours (Å) after each atom.
Fractional coordinates of all 5 atoms:
Hf: 0.0000 0.5000 0.0000  2 H 2.24
Hf: 0.5000 0.0000 0.0000  2 H 2.24
Re: 0.0000 0.0000 0.5000  2 H 1.84
H: 0.0000 0.0000 0.0000  2 Re 1.84
Pt: 0.5000 0.5000 0.5000  8 Hf 2.90, 4 Re 3.17

Properties
Magnetic moment ... 0.0 μB per cell
Total DFT energy (no corrections) ... -8.8796 eV/atom

7.
Material: Hf2HPtRh
Method: DFT, PBE-GGA
State: optimized geometry

Unit cell a=4.3599 b=4.3599 c=3.8533 alpha=90.00 beta=90.00 gamma=90.00
With the nearest neighbours (Å) after each atom.
Fractional coordinates of all 5 atoms:
Hf: 0.0000 0.5000 0.0000  2 H 2.18
Hf: 0.5000 0.0000 0.0000  2 H 2.18
H: 0.0000 0.0000 0.0000  2 Pt 1.93
Pt: 0.0000 0.0000 0.5000  2 H 1.93
Rh: 0.5000 0.5000 0.5000  8 Hf 2.91, 4 Pt 3.08

Properties
Offset from the most stable computed form ... 0.065 eV/atom
Magnetic moment ... 0.0 μB per cell
Total DFT energy (no corrections) ... -7.9859 eV/atom

8.
Material: HfHPt2Rh
Method: DFT, PBE-GGA
State: optimized geometry

Unit cell a=5.0512 b=5.0512 c=3.0877 alpha=90.00 beta=90.00 gamma=90.00
With the nearest neighbours (Å) after each atom.
Fractional coordinates of all 5 atoms:
Hf: 0.0000 0.0000 0.0000  8 Pt 2.96, 2 Hf 3.09
H: 0.5000 0.5000 0.0000  2 Rh 1.54
Pt: 0.0000 0.5000 0.5000  2 Rh 2.53
Pt: 0.5000 0.0000 0.5000  2 Rh 2.53
Rh: 0.5000 0.5000 0.5000  2 H 1.54

Properties
Offset from the most stable computed form ... 0.822 eV/atom
Magnetic moment ... 0.0 μB per cell
Total DFT energy (no corrections) ... -6.4732 eV/atom